1.
TlTcMo2 | PBE | optimized geometry

Structure (CIF):
```
data_TlTcMo2
_chemical_formula_sum 'Tl1 Tc1 Mo2'
_cell_length_a 2.994
_cell_length_b 4.025
_cell_length_c 5.861
_cell_angle_alpha 90.00
_cell_angle_beta 90.46
_cell_angle_gamma 90.00
_symmetry_space_group_name_H-M 'P 1 m 1'
_symmetry_Int_Tables_number 6
_symmetry_space_group_name_Hall 'P -2y'
loop_
_atom_site_label
_atom_site_type_symbol
_atom_site_fract_x
_atom_site_fract_y
_atom_site_fract_z
_atom_site_occupancy
Tl1 Tl 0.000 0.000 0.000 1
Tc1 Tc 0.515 0.500 0.704 1
Mo1 Mo 0.521 0.500 0.296 1
Mo2 Mo 0.960 0.000 0.505 1
```

Calculated values
As for the crystal system: monoclinic. For the formation energy, the calculation gives 175 kJ/mol of formula units. The value obtained for the energy above the most stable polymorph in this dataset is 0.038 eV/atom. For the calculated volume, the calculation gives 17.7 A^3/atom.

=====

2.
HoZr2F11 | PBE | optimized geometry

Structure (CIF):
```
data_HoZr2F11
_chemical_formula_sum 'Ho4 Zr8 F44'
_cell_length_a 7.841
_cell_length_b 10.008
_cell_length_c 10.686
_cell_angle_alpha 90.00
_cell_angle_beta 90.00
_cell_angle_gamma 90.00
_symmetry_space_group_name_H-M 'I b a m'
_symmetry_Int_Tables_number 72
_symmetry_space_group_name_Hall '-I 2 2c'
loop_
_atom_site_label
_atom_site_type_symbol
_atom_site_fract_x
_atom_site_fract_y
_atom_site_fract_z
_atom_site_occupancy
Ho1 Ho 0.000 0.000 0.250 1
Zr1 Zr 0.138 0.318 0.000 1
F1 F 0.000 0.500 0.000 1
F2 F 0.100 0.178 0.140 1
F3 F 0.128 0.284 0.500 1
F4 F 0.228 0.076 0.366 1
```

Calculated values
As for the crystal system: orthorhombic. The calculation puts the uncorrected formation energy at -53.52 eV per formula unit. For the calculated volume, the calculation gives 15.0 A^3/atom.

=====

3.
ScTeH | PBE | optimized geometry

Structure (CIF):
```
data_ScTeH
_chemical_formula_sum 'Sc4 Te4 H4'
_cell_length_a 5.849
_cell_length_b 6.210
_cell_length_c 6.835
_cell_angle_alpha 90.00
_cell_angle_beta 117.08
_cell_angle_gamma 90.00
_symmetry_space_group_name_H-M 'P 1 21/c 1'
_symmetry_Int_Tables_number 14
_symmetry_space_group_name_Hall '-P 2ybc'
loop_
_atom_site_label
_atom_site_type_symbol
_atom_site_fract_x
_atom_site_fract_y
_atom_site_fract_z
_atom_site_occupancy
Sc1 Sc 0.109 0.173 0.218 1
Te1 Te 0.317 0.587 0.130 1
H1 H 0.111 0.092 0.930 1
```

Calculated values
As for the crystal system: monoclinic. The calculation puts the total energy at -5.17 eV per atom. For the calculated volume, the calculation gives 18.4 A^3/atom.

=====

4.
ThTc2B4 | PBE | optimized geometry

Structure (CIF):
```
data_ThTc2B4
_chemical_formula_sum 'Th4 Tc8 B16'
_cell_length_a 11.762
_cell_length_b 5.690
_cell_length_c 5.778
_cell_angle_alpha 90.00
_cell_angle_beta 111.35
_cell_angle_gamma 90.00
_symmetry_space_group_name_H-M 'C 1 2/c 1'
_symmetry_Int_Tables_number 15
_symmetry_space_group_name_Hall '-C 2yc'
loop_
_atom_site_label
_atom_site_type_symbol
_atom_site_fract_x
_atom_site_fract_y
_atom_site_fract_z
_atom_site_occupancy
Th1 Th 0.000 0.235 0.250 1
Tc1 Tc 0.241 0.426 0.168 1
B1 B 0.081 0.311 0.808 1
B2 B 0.142 0.104 0.021 1
```

Calculated values
As for the crystal system: monoclinic. For the formation energy, the calculation gives -147 kJ/mol of formula units. For the calculated volume, the calculation gives 12.9 A^3/atom.

=====

5.
Tb6Ag2Au | PBE | optimized geometry

Structure (CIF):
```
data_Tb6Ag2Au
_chemical_formula_sum 'Tb12 Ag4 Au2'
_cell_length_a 5.033
_cell_length_b 7.107
_cell_length_c 15.058
_cell_angle_alpha 90.00
_cell_angle_beta 90.00
_cell_angle_gamma 90.00
_symmetry_space_group_name_H-M 'I m m m'
_symmetry_Int_Tables_number 71
_symmetry_space_group_name_Hall '-I 2 2'
loop_
_atom_site_label
_atom_site_type_symbol
_atom_site_fract_x
_atom_site_fract_y
_atom_site_fract_z
_atom_site_occupancy
Tb1 Tb 0.000 0.245 0.000 1
Tb2 Tb 0.000 0.252 0.335 1
Ag1 Ag 0.000 0.500 0.167 1
Au1 Au 0.000 0.500 0.500 1
```

Calculated values
As for the crystal system: orthorhombic. For the formation energy, the calculation gives -94 kJ/mol of formula units. For the calculated volume, the calculation gives 29.9 A^3/atom.

=====

6.
La4Ga12Hg | PBE | optimized geometry

Structure (CIF):
```
data_La4Ga12Hg
_chemical_formula_sum 'La8 Ga24 Hg2'
_cell_length_a 9.068
_cell_length_b 9.068
_cell_length_c 9.068
_cell_angle_alpha 90.00
_cell_angle_beta 90.00
_cell_angle_gamma 90.00
_symmetry_space_group_name_H-M 'I m -3 m'
_symmetry_Int_Tables_number 229
_symmetry_space_group_name_Hall '-I 4 2 3'
loop_
_atom_site_label
_atom_site_type_symbol
_atom_site_fract_x
_atom_site_fract_y
_atom_site_fract_z
_atom_site_occupancy
La1 La 0.250 0.250 0.250 1
Ga1 Ga 0.000 0.000 0.318 1
Ga2 Ga 0.000 0.250 0.500 1
Hg1 Hg 0.000 0.000 0.000 1
```

Calculated values
As for the crystal system: cubic. For the formation energy, the calculation gives -878 kJ/mol of formula units. For the calculated volume, the calculation gives 21.9 A^3/atom.

=====

Question: Among the records above, which one has the highest calculated volume?
Answer: Tb6Ag2Au

=====

Question: Number 2 is which compound?
Answer: HoZr2F11

=====

Question: calculated volume of number 5 (Tb6Ag2Au)?
Answer: 29.9 A^3/atom

=====

Question: What is the calculated volume in the first record?
Answer: 17.7 A^3/atom